Version i
An optimized crystal structure of V2OsPt2. Source: the Alexandria database, functional PBE-GGA.

The theoretical density comes out at 14.514 Mg/m³. The magnetization is 0.00 μB/f.u.

Structure (CIF):
```
data_V2OsPt2
_symmetry_space_group_name_H-M 'I 4/m m m'
_symmetry_Int_Tables_number 139
_symmetry_space_group_name_Hall '-I 4 2'
_cell_length_a 3.5794
_cell_length_b 3.5794
_cell_length_c 12.1852
_cell_angle_alpha 90.00
_cell_angle_beta 90.00
_cell_angle_gamma 90.00
loop_
_atom_site_label
_atom_site_fract_x
_atom_site_fract_y
_atom_site_fract_z
_atom_site_occupancy
V1 0.0000 0.5000 0.2500 1
Os1 0.0000 0.0000 0.0000 1
Pt1 0.0000 0.0000 0.3971 1
```

***

Version ii
An optimized crystal structure of V2OsPt2. Source: the Alexandria database, functional PBE-GGA.

The theoretical density comes out at 15.743 Mg/m³. The magnetization is 0.00 μB/f.u.

Structure (CIF):
```
data_V2OsPt2
_symmetry_space_group_name_H-M 'C 1 2/m 1'
_symmetry_Int_Tables_number 12
_cell_length_a 8.5029
_cell_length_b 3.8288
_cell_length_c 6.0158
_cell_angle_alpha 90.00
_cell_angle_beta 132.70
_cell_angle_gamma 90.00
loop_
_symmetry_equiv_pos_as_xyz
'x,y,z'
'-x,-y,-z'
'-x,y,-z'
'x,-y,z'
'x+1/2,y+1/2,z'
'-x+1/2,-y+1/2,-z'
'-x+1/2,y+1/2,-z'
'x+1/2,-y+1/2,z'
loop_
_atom_site_label
_atom_site_fract_x
_atom_site_fract_y
_atom_site_fract_z
_atom_site_occupancy
V1 0.0922 0.0000 0.3018 1
Os1 0.0000 0.5000 0.5000 1
Pt1 0.1988 0.5000 0.1058 1
```

***

Version iii
An optimized crystal structure of V2OsPt2. Source: the Alexandria database, functional PBE-GGA.

The theoretical density comes out at 15.281 Mg/m³. The magnetization is 0.00 μB/f.u.

Structure (CIF):
```
data_V2OsPt2
_symmetry_space_group_name_H-M 'P 4/m b m'
_symmetry_Int_Tables_number 127
_symmetry_space_group_name_Hall '-P 4 2ab'
_cell_length_a 7.4050
_cell_length_b 7.4050
_cell_length_c 2.7042
_cell_angle_alpha 90.00
_cell_angle_beta 90.00
_cell_angle_gamma 90.00
loop_
_atom_site_label
_atom_site_fract_x
_atom_site_fract_y
_atom_site_fract_z
_atom_site_occupancy
V1 0.1710 0.3290 0.0000 1
Os1 0.0000 0.0000 0.5000 1
Pt1 0.1283 0.6283 0.5000 1
```

***

Ranked by calculated energy, most stable first: version ii, version iii, version i.

***

Version i
An optimized crystal structure of VOsPt2. Source: the Alexandria database, functional PBE-GGA.

The theoretical density comes out at 17.995 Mg/m³. The magnetization is 0.24 μB/f.u.

Structure (CIF):
```
data_VOsPt2
_symmetry_space_group_name_H-M 'P 4/m m m'
_symmetry_Int_Tables_number 123
_symmetry_space_group_name_Hall '-P 4 2'
_cell_length_a 3.8160
_cell_length_b 3.8160
_cell_length_c 4.0008
_cell_angle_alpha 90.00
_cell_angle_beta 90.00
_cell_angle_gamma 90.00
loop_
_atom_site_label
_atom_site_fract_x
_atom_site_fract_y
_atom_site_fract_z
_atom_site_occupancy
V1 0.0000 0.0000 0.0000 1
Os1 0.5000 0.5000 0.0000 1
Pt1 0.0000 0.5000 0.5000 1
```

***

Version ii
An optimized crystal structure of VOsPt2. Source: the Alexandria database, functional PBE-GGA.

The theoretical density comes out at 16.450 Mg/m³. The magnetization is 0.00 μB/f.u.

Structure (CIF):
```
data_VOsPt2
_symmetry_space_group_name_H-M 'I -4 2 d'
_symmetry_Int_Tables_number 122
_symmetry_space_group_name_Hall 'I -4 2bw'
_cell_length_a 3.7367
_cell_length_b 3.7367
_cell_length_c 18.2567
_cell_angle_alpha 90.00
_cell_angle_beta 90.00
_cell_angle_gamma 90.00
loop_
_atom_site_label
_atom_site_fract_x
_atom_site_fract_y
_atom_site_fract_z
_atom_site_occupancy
V1 0.0000 0.0000 0.0000 1
Os1 0.0000 0.0000 0.5000 1
Pt1 0.2490 0.2500 0.6250 1
```

***

Ranked by calculated energy, most stable first: version i, version ii.

***

Version i
An optimized crystal structure of VOs3Pt. Source: the Alexandria database, functional PBE-GGA.

The theoretical density comes out at 15.523 Mg/m³. The magnetization is 0.00 μB/f.u.

Structure (CIF):
```
data_VOs3Pt
_symmetry_space_group_name_H-M 'P m -3 m'
_symmetry_Int_Tables_number 221
_symmetry_space_group_name_Hall '-P 4 2 3'
_cell_length_a 4.4373
_cell_length_b 4.4373
_cell_length_c 4.4373
_cell_angle_alpha 90.00
_cell_angle_beta 90.00
_cell_angle_gamma 90.00
loop_
_atom_site_label
_atom_site_fract_x
_atom_site_fract_y
_atom_site_fract_z
_atom_site_occupancy
V1 0.0000 0.0000 0.0000 1
Os1 0.0000 0.0000 0.5000 1
Pt1 0.5000 0.5000 0.5000 1
```

***

Version ii
An optimized crystal structure of VOs3Pt. Source: the Alexandria database, functional PBE-GGA.

The theoretical density comes out at 12.723 Mg/m³. The magnetization is 0.17 μB/f.u.

Structure (CIF):
```
data_VOs3Pt
_symmetry_space_group_name_H-M 'P m -3 m'
_symmetry_Int_Tables_number 221
_symmetry_space_group_name_Hall '-P 4 2 3'
_cell_length_a 4.7414
_cell_length_b 4.7414
_cell_length_c 4.7414
_cell_angle_alpha 90.00
_cell_angle_beta 90.00
_cell_angle_gamma 90.00
loop_
_atom_site_label
_atom_site_fract_x
_atom_site_fract_y
_atom_site_fract_z
_atom_site_occupancy
V1 0.0000 0.0000 0.0000 1
Os1 0.0000 0.5000 0.5000 1
Pt1 0.5000 0.5000 0.5000 1
```

***

Ranked by calculated energy, most stable first: version i, version ii.

***

Version i
An optimized crystal structure of OsPt2W. Source: the Alexandria database, functional PBE-GGA.

The theoretical density comes out at 20.798 Mg/m³. The magnetization is 0.00 μB/f.u.

Structure (CIF):
```
data_OsPt2W
_symmetry_space_group_name_H-M 'P 4/m m m'
_symmetry_Int_Tables_number 123
_symmetry_space_group_name_Hall '-P 4 2'
_cell_length_a 3.8750
_cell_length_b 3.8750
_cell_length_c 4.0637
_cell_angle_alpha 90.00
_cell_angle_beta 90.00
_cell_angle_gamma 90.00
loop_
_atom_site_label
_atom_site_fract_x
_atom_site_fract_y
_atom_site_fract_z
_atom_site_occupancy
Os1 0.0000 0.0000 0.0000 1
Pt1 0.0000 0.5000 0.5000 1
W1 0.5000 0.5000 0.0000 1
```

***

Version ii
An optimized crystal structure of OsPt2W. Source: the Alexandria database, functional PBE-GGA.

The theoretical density comes out at 20.774 Mg/m³. The magnetization is 0.00 μB/f.u.

Structure (CIF):
```
data_OsPt2W
_symmetry_space_group_name_H-M 'P m m m'
_symmetry_Int_Tables_number 47
_cell_length_a 2.7587
_cell_length_b 4.0476
_cell_length_c 5.4708
_cell_angle_alpha 90.00
_cell_angle_beta 90.00
_cell_angle_gamma 90.00
loop_
_symmetry_equiv_pos_as_xyz
'x,y,z'
'-x,-y,-z'
'-x,-y,z'
'x,y,-z'
'x,-y,-z'
'-x,y,z'
'-x,y,-z'
'x,-y,z'
loop_
_atom_site_label
_atom_site_fract_x
_atom_site_fract_y
_atom_site_fract_z
_atom_site_occupancy
Os1 0.0000 0.0000 0.0000 1
Pt1 0.5000 0.5000 0.2498 1
W1 0.0000 0.0000 0.5000 1
```

***

Ranked by calculated energy, most stable first: version i, version ii.